1.
The following is a DFT calculation (PBE) of a geometry-optimized BiH8Pt2 structure.

Unit cell a=5.6805 b=6.4478 c=7.0315 alpha=90.00 beta=108.85 gamma=90.00
Closest atoms and distances in Å follow each position.
Space group C2/m (No. 12)
Asymmetric unit:
Bi  0.0000  0.0000  0.0000 (multiplicity 2)  6 H 2.36-2.47
H  0.0493  0.3254  0.8651 (multiplicity 8)  1 Pt 1.63
H  0.2222  0.5000  0.5665 (multiplicity 4)  2 Pt 1.80-1.82
H  0.2421  0.0000  0.7645 (multiplicity 4)  1 Pt 1.63
Pt  0.0166  0.5000  0.3117 (multiplicity 4)  4 H 1.63-1.80



2.
The following is a DFT calculation (PBE) of a geometry-optimized HoLuZnFe structure.

Unit cell a=6.8249 b=6.8249 c=6.8249 alpha=90.00 beta=90.00 gamma=90.00
Closest atoms and distances in Å follow each position.
Space group F-43m (No. 216)
Asymmetric unit:
Ho  0.0000  0.0000  0.0000 (multiplicity 4)  4 Fe 2.96, 4 Zn 2.96
Lu  0.0000  0.0000  0.5000 (multiplicity 4)  4 Zn 2.96, 4 Fe 2.96
Zn  0.2500  0.2500  0.7500 (multiplicity 4)  4 Ho 2.96, 4 Lu 2.96
Fe  0.2500  0.2500  0.2500 (multiplicity 4)  4 Ho 2.96, 4 Lu 2.96



3.
The following is a DFT calculation (PBE) of a geometry-optimized Pm3Pr2TaN6 structure.

ΔE_f (raw) = -1.322 eV/atom

Unit cell a=6.1467 b=10.6458 c=6.0793 alpha=90.00 beta=109.59 gamma=90.00
Closest atoms and distances in Å follow each position.
Space group C2/m (No. 12)
Asymmetric unit:
Pm  0.0000  0.0000  0.0000 (multiplicity 2)  6 N 2.49-2.73
Pm  0.0000  0.3365  0.0000 (multiplicity 4)  4 N 2.44-2.49
Pr  0.0000  0.1670  0.5000 (multiplicity 4)  6 N 2.54-2.56
Ta  0.0000  0.5000  0.5000 (multiplicity 2)  6 N 2.22-2.27
N  0.2187  0.5000  0.2648 (multiplicity 4)  1 Ta 2.27, 2 Pm 2.44
N  0.2227  0.3535  0.7272 (multiplicity 8)  1 Ta 2.22, 2 Pm 2.49



| no. | energy (eV per atom) | density of states at the Fermi level (states/eV/cell) |
| --- | --- | --- |
| 1 | -3.67 | 3.19 |
| 2 | -4.81 | 21.30 |
| 3 | -8.46 | 3.68 |